1.
Here is TlPt2Cl after structural relaxation from Alexandria. Energies are from GGA-PBE.

The excess energy over the best structure of this formula in the dataset is 222 meV per atom. Its uncorrected formation energy is 276 meV/atom. Its crystal system is monoclinic.

It has space group C2/m (No. 12), with a = 5.765 Å, b = 9.876 Å, c = 3.213 Å, α = 90.00°, β = 123.27° and γ = 90.00°. Symmetry generates all atoms from Tl at (0.000, 0.000, 0.000), Pt at (0.250, 0.250, 0.500) and Cl at (0.000, 0.500, 0.000).

***

2.
Here is Tl3PtCl7 after structural relaxation from Alexandria. Energies are from GGA-PBE.

Its uncorrected formation energy is -775 meV/atom. Its crystal system is tetragonal.

It has space group P4/mbm (No. 127), with a = 9.736 Å, b = 9.736 Å, c = 6.858 Å, α = 90.00°, β = 90.00° and γ = 90.00°. Symmetry generates all atoms from Tl at (0.000, 0.000, 0.000), Tl at (0.173, 0.327, 0.500), Pt at (0.000, 0.500, 0.000), Cl at (0.000, 0.000, 0.500), Cl at (0.118, 0.618, 0.246) and Cl at (0.170, 0.330, 0.000).

***

3.
Here is TlPt2Cl after structural relaxation from Alexandria. Energies are from GGA-PBE.

The excess energy over the best structure of this formula in the dataset is 352 meV per atom. Its uncorrected formation energy is 406 meV/atom. Its crystal system is cubic.

It has space group Fm-3m (No. 225), with a = 6.669 Å, b = 6.669 Å, c = 6.669 Å, α = 90.00°, β = 90.00° and γ = 90.00°. Symmetry generates all atoms from Tl at (0.000, 0.000, 0.000), Pt at (0.250, 0.250, 0.250) and Cl at (0.000, 0.000, 0.500).

***

4.
Here is TlPtCl2 after structural relaxation from Alexandria. Energies are from GGA-PBE.

The excess energy over the best structure of this formula in the dataset is 356 meV per atom. Its uncorrected formation energy is 38 meV/atom. Its crystal system is monoclinic.

It has space group C2/m (No. 12), with a = 6.302 Å, b = 7.766 Å, c = 4.997 Å, α = 90.00°, β = 128.86° and γ = 90.00°. Symmetry generates all atoms from Tl at (0.000, 0.000, 0.000), Pt at (0.000, 0.500, 0.000) and Cl at (0.250, 0.250, 0.500).

***

Calculated total energy
In order: -30.38 -69.19 -58.68 -23.90
Unit: eV/cell